[1]
DFT (GGA-PBE) results for NaSr2Ir after structural relaxation.

a = 3.7229 Å, b = 3.7229 Å, c = 9.6457 Å
α = 90.00°, β = 90.00°, γ = 90.00°
Fractional coordinates of all 4 atoms:
Sr 0.0000 0.0000 0.8253
Sr 0.0000 0.0000 0.1747
Ir 0.5000 0.5000 0.0000
Na 0.5000 0.5000 0.5000

Energy above the most stable polymorph in this dataset (eV per atom): 0.000
V (Å³/cell): 133.7
Energy (eV/f.u.): -13.742
D(E_F) (states/eV/atom): 0.541
Formation enthalpy at 0 K (eV per formula unit): -0.2

=====

[2]
DFT (GGA-PBE) results for Sm2ZnHgO5 after structural relaxation.

a = 5.7657 Å, b = 6.7018 Å, c = 6.7018 Å
α = 90.00°, β = 90.00°, γ = 90.00°
Fractional coordinates of all 18 atoms:
Sm 0.5000 0.6725 0.1725
Sm 0.5000 0.1725 0.3275
Sm 0.5000 0.8275 0.6725
Sm 0.5000 0.3275 0.8275
Zn 0.0000 0.0000 0.5000
Zn 0.0000 0.5000 0.0000
Hg 0.0000 0.5000 0.5000
Hg 0.0000 0.0000 0.0000
O 0.5000 0.5000 0.5000
O 0.5000 0.0000 0.0000
O 0.2512 0.1401 0.6401
O 0.2512 0.8599 0.3599
O 0.2512 0.3599 0.1401
O 0.2512 0.6401 0.8599
O 0.7488 0.1401 0.6401
O 0.7488 0.6401 0.8599
O 0.7488 0.8599 0.3599
O 0.7488 0.3599 0.1401

V (Å³/cell): 259.0
Energy (eV/f.u.): -53.913
Raw formation energy (eV per atom): -2.012
D(E_F) (states/eV/atom): 0.479

=====

[3]
DFT (GGA-PBE) results for Pm8Ga3NiI4 after structural relaxation.

a = 8.5077 Å, b = 9.1916 Å, c = 8.5894 Å
α = 118.31°, β = 119.69°, γ = 90.00°
Fractional coordinates of all 16 atoms:
Pm 0.2246 0.6992 0.9745
Pm 0.2272 0.7029 0.4544
Pm 0.2616 0.2836 0.5232
Pm 0.7498 0.6992 0.9745
Pm 0.2502 0.3008 0.0255
Pm 0.7384 0.7164 0.4768
Pm 0.7728 0.2971 0.5456
Pm 0.7754 0.3008 0.0255
Ga 0.5000 0.5000 0.0000
Ga 0.5000 0.5000 0.5000
Ga 0.0000 0.5000 0.5000
Ni 0.0000 0.5000 0.0000
I 0.5000 0.0000 0.0000
I 0.5000 0.0000 0.5000
I 0.0000 0.0000 0.0000
I 0.0000 0.0000 0.5000

V (Å³/cell): 488.9
Energy (eV/f.u.): -70.414
Raw formation energy (eV per atom): -0.709
D(E_F) (states/eV/atom): 0.981

=====

[4]
DFT (GGA-PBE) results for SmAlZn4 after structural relaxation.

a = 5.3820 Å, b = 5.3820 Å, c = 5.3820 Å
α = 60.00°, β = 60.00°, γ = 60.00°
Fractional coordinates of all 6 atoms:
Zn 0.6252 0.6252 0.1245
Zn 0.6252 0.1245 0.6252
Zn 0.6252 0.6252 0.6252
Zn 0.1245 0.6252 0.6252
Al 0.0000 0.0000 0.0000
Sm 0.2500 0.2500 0.2500

Energy above the most stable polymorph in this dataset (eV per atom): 0.000
V (Å³/cell): 110.2
Energy (eV/f.u.): -14.258
D(E_F) (states/eV/atom): 0.484
Formation enthalpy at 0 K (eV per formula unit): -0.7

=====

[5]
DFT (GGA-PBE) results for YPbAu after structural relaxation.

a = 4.8056 Å, b = 4.8058 Å, c = 8.3382 Å
α = 106.70°, β = 73.30°, γ = 119.96°
Fractional coordinates of all 6 atoms:
Y 0.6639 0.1617 0.5764
Y 0.5017 0.3236 0.0629
Pb 0.2404 0.5850 0.8471
Pb 0.0785 0.7469 0.3342
Au 0.7872 0.0381 0.2073
Au 0.9468 0.8786 0.7277

V (Å³/cell): 157.4
Energy (eV/f.u.): -15.144
D(E_F) (states/eV/atom): 0.318
Formation enthalpy at 0 K (eV per formula unit): -1.7

=====

[6]
DFT (GGA-PBE) results for MgGaRh after structural relaxation.

a = 3.0731 Å, b = 2.9589 Å, c = 5.8826 Å
α = 104.41°, β = 90.00°, γ = 90.00°
Fractional coordinates of all 3 atoms:
Mg 0.5000 0.0546 0.7844
Ga 0.5000 0.3295 0.3386
Rh 0.0000 0.7050 0.0868

V (Å³/cell): 51.8
Energy (eV/f.u.): -13.263
D(E_F) (states/eV/atom): 0.399
Formation enthalpy at 0 K (eV per formula unit): -1.3

=====

[7]
DFT (GGA-PBE) results for AcSm4Hg4 after structural relaxation.

a = 3.8406 Å, b = 11.6633 Å, c = 11.6633 Å
α = 90.00°, β = 90.00°, γ = 90.00°
Fractional coordinates of all 18 atoms:
Ac 0.0000 0.0000 0.0000
Ac 0.5000 0.5000 0.5000
Sm 0.5000 0.5002 0.8190
Sm 0.0000 0.6810 0.0002
Sm 0.5000 0.4998 0.1810
Sm 0.0000 0.9998 0.6810
Sm 0.5000 0.8190 0.4998
Sm 0.0000 0.0002 0.3190
Sm 0.0000 0.3190 0.9998
Sm 0.5000 0.1810 0.5002
Hg 0.5000 0.8238 0.1766
Hg 0.5000 0.1762 0.8234
Hg 0.0000 0.6765 0.6762
Hg 0.0000 0.3238 0.6765
Hg 0.0000 0.6762 0.3235
Hg 0.5000 0.1766 0.1762
Hg 0.5000 0.8234 0.8238
Hg 0.0000 0.3235 0.3238

V (Å³/cell): 522.5
Energy (eV/f.u.): -26.978
D(E_F) (states/eV/atom): 1.176
Formation enthalpy at 0 K (eV per formula unit): -2.8

=====

[8]
DFT (GGA-PBE) results for SbRu2C after structural relaxation.

a = 5.3263 Å, b = 5.3263 Å, c = 6.1163 Å
α = 64.19°, β = 64.19°, γ = 90.00°
Fractional coordinates of all 8 atoms:
Sb 0.0000 0.0000 0.0000
Sb 0.7500 0.2500 0.5000
C 0.5000 0.5000 0.0000
C 0.2500 0.7500 0.5000
Ru 0.5199 0.1250 0.2500
Ru 0.2301 0.6250 0.2500
Ru 0.3750 0.4801 0.7500
Ru 0.8750 0.7699 0.7500

Energy above the most stable polymorph in this dataset (eV per atom): 0.000
V (Å³/cell): 136.7
Energy (eV/f.u.): -30.366
Raw formation energy (eV per atom): 0.383
D(E_F) (states/eV/atom): 0.552

=====

[9]
DFT (GGA-PBE) results for NbTlSe2 after structural relaxation.

a = 17.0551 Å, b = 6.1482 Å, c = 6.0981 Å
α = 90.00°, β = 135.54°, γ = 90.00°
Fractional coordinates of all 16 atoms:
Tl 0.2504 0.2507 0.0123
Tl 0.7496 0.7493 0.9877
Tl 0.2496 0.7507 0.4877
Tl 0.7504 0.2493 0.5123
Nb 0.5078 0.0006 0.2655
Nb 0.4922 0.9994 0.7345
Nb 0.9922 0.5006 0.2345
Nb 0.0078 0.4994 0.7655
Se 0.9005 0.7615 0.7856
Se 0.0995 0.2385 0.2144
Se 0.5995 0.2615 0.7144
Se 0.4005 0.7385 0.2856
Se 0.0993 0.7619 0.6834
Se 0.9007 0.2381 0.3166
Se 0.4007 0.2619 0.8166
Se 0.5993 0.7381 0.1834

V (Å³/cell): 447.9
Energy (eV/f.u.): -21.332
Raw formation energy (eV per atom): -0.482
D(E_F) (states/eV/atom): 0.662

=====

[10]
DFT (GGA-PBE) results for CsTmSnO3 after structural relaxation.

a = 3.4724 Å, b = 10.1126 Å, c = 7.7076 Å
α = 95.35°, β = 90.00°, γ = 90.00°
Fractional coordinates of all 12 atoms:
Cs 0.7500 0.7116 0.6536
Cs 0.2500 0.2884 0.3464
Tm 0.2500 0.6251 0.1001
Tm 0.7500 0.3749 0.8999
Sn 0.2500 0.1002 0.7613
Sn 0.7500 0.8998 0.2387
O 0.2500 0.7924 0.3319
O 0.7500 0.7571 0.0303
O 0.7500 0.4946 0.1570
O 0.7500 0.2076 0.6681
O 0.2500 0.5054 0.8430
O 0.2500 0.2429 0.9697

V (Å³/cell): 269.5
Energy (eV/f.u.): -37.868
Raw formation energy (eV per atom): -2.278
D(E_F) (states/eV/atom): 0.000

=====

[11]
DFT (GGA-PBE) results for GaBiTe4 after structural relaxation.

a = 4.4274 Å, b = 7.0899 Å, c = 7.6686 Å
α = 123.54°, β = 90.00°, γ = 108.19°
Fractional coordinates of all 6 atoms:
Ga 0.0000 0.0000 0.0000
Bi 0.5000 0.0000 0.5000
Te 0.3503 0.7006 0.9991
Te 0.1543 0.3086 0.4721
Te 0.6497 0.2994 0.0009
Te 0.8457 0.6914 0.5279

V (Å³/cell): 186.0
Energy (eV/f.u.): -19.843
Raw formation energy (eV per atom): -0.061
D(E_F) (states/eV/atom): 0.609

=====

[12]
DFT (GGA-PBE) results for DyAl2Ni5 after structural relaxation.

a = 3.6284 Å, b = 6.0659 Å, c = 6.0659 Å
α = 65.45°, β = 72.60°, γ = 72.60°
Fractional coordinates of all 8 atoms:
Dy 0.0000 0.0000 0.0000
Al 0.7574 0.7426 0.7426
Al 0.2426 0.2574 0.2574
Ni 0.0000 0.5000 0.5000
Ni 0.6331 0.5575 0.1763
Ni 0.3669 0.4425 0.8237
Ni 0.3669 0.8237 0.4425
Ni 0.6331 0.1763 0.5575

V (Å³/cell): 113.5
Energy (eV/f.u.): -44.183
D(E_F) (states/eV/atom): 0.570
Formation enthalpy at 0 K (eV per formula unit): -3.2

=====

[13]
DFT (GGA-PBE) results for SrLiCe after structural relaxation.

a = 3.9760 Å, b = 3.9760 Å, c = 12.8586 Å
α = 91.19°, β = 91.19°, γ = 85.68°
Site moments in Bohr magnetons follow the coordinates.
Fractional coordinates of all 6 atoms:
Ce 0.2066 0.2066 0.5453  0.56
Ce 0.7934 0.7934 0.4547  0.56
Sr 0.7390 0.7390 0.7653  0.01
Sr 0.2610 0.2610 0.2347  0.01
Li 0.2477 0.2477 0.9522  0.00
Li 0.7523 0.7523 0.0478  0.00

V (Å³/cell): 202.6
Energy (eV/f.u.): -9.119
D(E_F) (states/eV/atom): 1.980
Formation enthalpy at 0 K (eV per formula unit): 0.4

=====

[14]
DFT (GGA-PBE) results for SrGa3Pd after structural relaxation.

a = 5.6711 Å, b = 5.6711 Å, c = 5.6711 Å
α = 90.00°, β = 90.00°, γ = 90.00°
Fractional coordinates of all 5 atoms:
Sr 0.0000 0.0000 0.0000
Ga 0.0000 0.5000 0.0000
Ga 0.0000 0.0000 0.5000
Ga 0.5000 0.0000 0.0000
Pd 0.5000 0.5000 0.5000

V (Å³/cell): 182.4
Energy (eV/f.u.): -9.981
D(E_F) (states/eV/atom): 1.737
Formation enthalpy at 0 K (eV per formula unit): 6.0

=====

[15]
DFT (GGA-PBE) results for SrPrH after structural relaxation.

a = 3.8666 Å, b = 3.8666 Å, c = 6.3334 Å
α = 90.00°, β = 90.00°, γ = 120.00°
Site moments in Bohr magnetons follow the coordinates.
Fractional coordinates of all 3 atoms:
Pr 0.3333 0.6667 0.5646  -0.14
Sr 0.0000 0.0000 0.0833  -0.04
H 0.6667 0.3333 0.3522  0.00

V (Å³/cell): 82.0
Energy (eV/f.u.): -10.151
D(E_F) (states/eV/atom): 1.104

=====

[16]
DFT (GGA-PBE) results for LiOs2Cl after structural relaxation.

a = 6.0617 Å, b = 3.9703 Å, c = 3.0694 Å
α = 90.09°, β = 75.30°, γ = 109.14°
Fractional coordinates of all 4 atoms:
Cl 0.5000 0.5000 0.0000
Li 0.5000 0.0000 0.5000
Os 0.0000 0.0000 0.0000
Os 0.0000 0.5000 0.5000

Energy above the most stable polymorph in this dataset (eV per atom): 0.436
V (Å³/cell): 67.2
Energy (eV/f.u.): -23.985
Raw formation energy (eV per atom): 0.559
D(E_F) (states/eV/atom): 0.724

=====

[17]
DFT (GGA-PBE) results for Co4HgPt after structural relaxation.

a = 4.8459 Å, b = 4.8459 Å, c = 4.8459 Å
α = 60.00°, β = 60.00°, γ = 60.00°
Site moments in Bohr magnetons follow the coordinates.
Fractional coordinates of all 6 atoms:
Co 0.6254 0.6254 0.1238  1.77
Co 0.6254 0.1238 0.6254  1.77
Co 0.6254 0.6254 0.6254  1.77
Co 0.1238 0.6254 0.6254  1.77
Hg 0.2500 0.2500 0.2500  -0.03
Pt 0.0000 0.0000 0.0000  0.28

V (Å³/cell): 80.5
Energy (eV/f.u.): -33.482
D(E_F) (states/eV/atom): 1.681
Formation enthalpy at 0 K (eV per formula unit): 1.3

=====

[18]
DFT (GGA-PBE) results for CaNdGaRh after structural relaxation.

a = 5.0563 Å, b = 5.0563 Å, c = 5.0563 Å
α = 60.00°, β = 60.00°, γ = 60.00°
Fractional coordinates of all 4 atoms:
Rh 0.7500 0.7500 0.7500
Ca 0.5000 0.5000 0.5000
Nd 0.0000 0.0000 0.0000
Ga 0.2500 0.2500 0.2500

Energy above the most stable polymorph in this dataset (eV per atom): 0.114
V (Å³/cell): 91.4
Energy (eV/f.u.): -19.051
D(E_F) (states/eV/atom): 0.652
Formation enthalpy at 0 K (eV per formula unit): -1.9

=====

[19]
DFT (GGA-PBE) results for BeTeSe2Br after structural relaxation.

a = 4.8403 Å, b = 4.8403 Å, c = 4.5411 Å
α = 90.00°, β = 90.00°, γ = 90.00°
Fractional coordinates of all 5 atoms:
Be 0.0000 0.0000 0.0000
Te 0.5000 0.5000 0.5000
Se 0.0000 0.5000 0.0000
Se 0.5000 0.0000 0.0000
Br 0.0000 0.0000 0.5000

Energy above the most stable polymorph in this dataset (eV per atom): 0.000
V (Å³/cell): 106.4
Energy (eV/f.u.): -14.794
Raw formation energy (eV per atom): 0.143
D(E_F) (states/eV/atom): 0.460

=====

[20]
DFT (GGA-PBE) results for Ce2DySi after structural relaxation.

a = 3.6565 Å, b = 3.6565 Å, c = 10.4886 Å
α = 79.96°, β = 79.96°, γ = 60.00°
Site moments in Bohr magnetons follow the coordinates.
Fractional coordinates of all 4 atoms:
Si 0.5000 0.5000 0.5000  -0.01
Ce 0.1055 0.1055 0.6836  0.47
Ce 0.8945 0.8945 0.3164  0.47
Dy 0.0000 0.0000 0.0000  0.15

Energy above the most stable polymorph in this dataset (eV per atom): 0.413
V (Å³/cell): 119.0
Energy (eV/f.u.): -21.479
Raw formation energy (eV per atom): 0.103
D(E_F) (states/eV/atom): 2.759